(1)
VASP calculation (PBE) on crystalline YEr6Rh2 at its relaxed geometry.

The space group is C2/m (No. 12) and the conventional cell measures 15.8316, 3.7118 and 10.7813 Å, with angles of 90.00, 130.27 and 90.00 degrees. Symmetry generates all atoms from Y at (0.0000, 0.0000, 0.0000), Er at (0.0192, 0.0000, 0.6888), Er at (0.1951, 0.5000, 0.0545), Er at (0.2269, 0.5000, 0.6160) and Rh at (0.0988, 0.5000, 0.2732).

As for the density of states at the Fermi level: 0.976 states/eV/atom. The value obtained for the energy of formation is -415.2 meV/atom.

(2)
VASP calculation (PBE) on crystalline Ba2GaOsO6 at its relaxed geometry.

The space group is Fm-3m (No. 225) and the conventional cell measures 8.1055, 8.1055 and 8.1055 Å, with angles of 90.00, 90.00 and 90.00 degrees. Symmetry generates all atoms from Ba at (0.2500, 0.2500, 0.2500), Ga at (0.0000, 0.0000, 0.0000), Os at (0.0000, 0.0000, 0.5000) and O at (0.0000, 0.0000, 0.2522).

As for the density of states at the Fermi level: 0.071 states/eV/atom. As for the formation energy without anion corrections: -1.937 eV/atom.

(3)
VASP calculation (PBE) on crystalline Zn2PIr at its relaxed geometry.

The space group is P4/mmm (No. 123) and the conventional cell measures 3.4350, 3.4350 and 4.8788 Å, with angles of 90.00, 90.00 and 90.00 degrees. Symmetry generates all atoms from Zn at (0.0000, 0.0000, 0.2493), P at (0.5000, 0.5000, 0.5000) and Ir at (0.5000, 0.5000, 0.0000).

As for the density of states at the Fermi level: 0.282 states/eV/atom. The value obtained for the energy of formation is -14.3 meV/atom.

| no. | density (g/cm3) | magnetization (μB per cell) | VASP energy (eV/atom) |
| --- | --- | --- | --- |
| 1 | 8.92 | 0.0 | -5.8090 |
| 2 | 7.87 | 12.1 | -6.7226 |
| 3 | 10.21 | 0.0 | -4.2190 |